Entry 1:
Mg2BPt5: optimized geometry, PBE-GGA.

Cell: 5.6932 5.6932 5.6932 Å, 89.29 120.41 120.41°
Atoms (fractional coordinates):
Mg 0.5000 0.2460 0.7460
Mg 0.5000 0.7460 0.2460
B 0.0000 0.9900 0.9900
Pt 0.4843 0.7386 0.7386
Pt 0.0000 0.7386 0.2543
Pt 0.0000 0.2543 0.7386
Pt 0.5157 0.2543 0.2543
Pt 0.0000 0.2543 0.2543

Summary:
- Total DFT energy (no corrections): -5.65 eV/atom
- E_form: -0.644 eV/atom
- Total moment: 0.0 μB/f.u.
- Space-group type: No. 107

Entry 2:
Ac2Hf2Se7: optimized geometry, PBE-GGA.

Cell: 7.2198 7.9588 7.9588 Å, 114.00 94.83 94.83°
Atoms (fractional coordinates):
Ac 0.5000 0.3161 0.6839
Ac 0.5000 0.6839 0.3161
Hf 0.8889 0.2632 0.2632
Hf 0.1111 0.7368 0.7368
Se 0.2803 0.9447 0.6091
Se 0.7197 0.3909 0.0553
Se 0.7197 0.0553 0.3909
Se 0.2803 0.6091 0.9447
Se 0.0000 0.0000 0.0000
Se 0.7769 0.5673 0.5673
Se 0.2231 0.4327 0.4327

Summary:
- Total DFT energy (no corrections): -6.26 eV/atom
- Total moment: 0.0 μB/f.u.
- Space-group type: No. 12
- Raw formation energy: -1489 meV/atom

Entry 3:
HoPdS2: optimized geometry, PBE-GGA.

Cell: 3.8470 3.8470 6.4690 Å, 72.70 72.70 60.00°
Atoms (fractional coordinates):
Ho 0.4969 0.4969 0.5092
Pd 0.6734 0.6734 0.9799
S 0.0770 0.0770 0.7690
S 0.2527 0.2527 0.2419

Summary:
- Total DFT energy (no corrections): -5.57 eV/atom
- Total moment: 0.0 μB/f.u.
- E above lowest polymorph: 0 meV/atom
- Space-group type: No. 160
- Raw formation energy: -1060 meV/atom

Entry 4:
Zr2PaV: optimized geometry, PBE-GGA.

Cell: 3.1076 3.1076 10.5641 Å, 81.54 81.54 60.00°
Atoms (fractional coordinates):
Pa 0.0000 0.0000 0.0000
Zr 0.0965 0.0965 0.7105
Zr 0.9035 0.9035 0.2895
V 0.5000 0.5000 0.5000

Summary:
- Total DFT energy (no corrections): -8.57 eV/atom
- E_form: 0.355 eV/atom
- Total moment: 1.0 μB/f.u.
- E above lowest polymorph: 163 meV/atom
- Space-group type: No. 166